(1)
Below is an optimized crystal structure of Zr2RuCl, with properties calculated at the PBE level.

a = 4.926 Å, b = 4.926 Å, c = 4.926 Å
α = 133.60°, β = 113.05°, γ = 85.35°
Sites, in units of the cell vectors:
Ru1 0.250 0.750 0.500
Zr1 0.000 0.000 0.000
Zr2 0.500 0.500 0.000
Cl1 0.750 0.250 0.500

Computed properties:
D(E_F) = 0.683 states/eV/atom
Formation energy (no corrections) = -0.266 eV per atom
Space group = No. 71
Excess energy over the best structure of this formula in the dataset = 0.431 eV/atom

=====

(2)
Below is an optimized crystal structure of LaAl2Co2Si, with properties calculated at the PBE level.

a = 4.272 Å, b = 4.272 Å, c = 5.797 Å
α = 90.00°, β = 90.00°, γ = 90.00°
Sites, in units of the cell vectors:
Si1 0.000 0.000 0.000
Al1 0.500 0.500 0.244
Al2 0.500 0.500 0.756
Co1 0.500 0.000 0.000
Co2 0.000 0.500 0.000
La1 0.000 0.000 0.500

Computed properties:
D(E_F) = 0.939 states/eV/atom
Formation energy (no corrections) = -0.397 eV per atom
Space group = No. 123

=====

(3)
Below is an optimized crystal structure of NaSn2TeS3, with properties calculated at the PBE level.

a = 8.427 Å, b = 8.427 Å, c = 8.427 Å
α = 57.24°, β = 57.24°, γ = 57.24°
Sites, in units of the cell vectors:
Sn1 0.500 0.000 0.000
Sn2 0.000 0.000 0.500
Sn3 0.000 0.500 0.000
Sn4 0.000 0.000 0.000
S1 0.752 0.752 0.193
S2 0.248 0.807 0.248
S3 0.193 0.752 0.752
S4 0.248 0.248 0.807
S5 0.752 0.193 0.752
S6 0.807 0.248 0.248
Na1 0.594 0.594 0.594
Na2 0.406 0.406 0.406
Te1 0.255 0.255 0.255
Te2 0.745 0.745 0.745

Computed properties:
D(E_F) = 0.071 states/eV/atom
Formation energy (no corrections) = -0.465 eV per atom
Space group = No. 166

=====

(4)
Below is an optimized crystal structure of U4H6Ru7, with properties calculated at the PBE level.

a = 6.603 Å, b = 6.603 Å, c = 6.603 Å
α = 109.47°, β = 109.47°, γ = 109.47°
Sites, in units of the cell vectors:
Ru1 0.500 0.250 0.750
Ru2 0.750 0.500 0.250
Ru3 0.750 0.250 0.500
Ru4 0.250 0.500 0.750
Ru5 0.000 0.000 0.000
Ru6 0.500 0.750 0.250
Ru7 0.250 0.750 0.500
H1 0.772 0.772 0.000
H2 0.228 0.000 0.228
H3 0.000 0.772 0.772
H4 0.228 0.228 0.000
H5 0.772 0.000 0.772
H6 0.000 0.228 0.228
U1 0.000 0.500 0.000
U2 0.500 0.500 0.500
U3 0.500 0.000 0.000
U4 0.000 0.000 0.500

Computed properties:
D(E_F) = 0.864 states/eV/atom
Electronic total energy = -7.7554 eV per atom
Space group = No. 229